Here is a relaxed structure of MgCuP from OQMD via LeMat-Bulk. Energies are from PBE-GGA.

Unit cell a=4.4640 b=4.4640 c=5.2873 alpha=90.00 beta=90.00 gamma=120.00
Closest atoms and distances in Å follow each position.
Positions (direct):
Mg1 0.3333 0.6667 0.2500  5 P 2.58-2.64
Mg2 0.6667 0.3333 0.7500  5 P 2.58-2.64
Cu1 0.0000 0.0000 0.0000  2 Cu 2.64, 6 Mg 2.90, 6 P 2.90
Cu2 0.0000 0.0000 0.5000  2 Cu 2.64, 6 Mg 2.90, 6 P 2.90
P1 0.3333 0.6667 0.7500  5 Mg 2.58-2.64
P2 0.6667 0.3333 0.2500  5 Mg 2.58-2.64

## Properties
calculated total energy = -21.954 eV per cell

Here is a relaxed structure of HoSnPt from OQMD via LeMat-Bulk. Energies are from PBE-GGA.

Unit cell a=7.0938 b=7.0938 c=4.4629 alpha=90.00 beta=90.00 gamma=120.00
Closest atoms and distances in Å follow each position.
Positions (direct):
Ho1 0.0000 0.5643 0.0000  5 Sn 3.06-3.09, 2 Pt 3.19
Ho2 0.4357 0.4357 0.0000  5 Sn 3.06-3.09, 2 Pt 3.19
Ho3 0.5643 0.0000 0.0000  5 Sn 3.06-3.09, 2 Pt 3.19
Sn1 0.0000 0.0000 0.0000  6 Pt 2.82, 3 Ho 3.09
Sn2 0.3333 0.6667 0.5000  3 Pt 2.75, 6 Ho 3.06
Sn3 0.6667 0.3333 0.5000  3 Pt 2.75, 6 Ho 3.06
Pt1 0.0000 0.2420 0.5000  4 Sn 2.75-2.82, 2 Pt 2.97
Pt2 0.2420 0.0000 0.5000  4 Sn 2.75-2.82, 2 Pt 2.97
Pt3 0.7580 0.7580 0.5000  4 Sn 2.75-2.82, 2 Pt 2.97

## Properties
calculated total energy = -52.052 eV per cell

Here is a relaxed structure of Mo3Pt2N from OQMD via LeMat-Bulk. Energies are from PBE-GGA.

Unit cell a=6.8953 b=6.8953 c=6.8953 alpha=90.00 beta=90.00 gamma=90.00
Closest atoms and distances in Å follow each position.
Positions (direct):
Mo1 0.0494 0.1250 0.7994  2 N 2.17
Mo2 0.1250 0.7994 0.0494  2 N 2.17
Mo3 0.2006 0.5494 0.3750  2 N 2.17
Mo4 0.2994 0.4506 0.8750  2 N 2.17
Mo5 0.3750 0.2006 0.5494  2 N 2.17
Mo6 0.4506 0.8750 0.2994  2 N 2.17
Mo7 0.5494 0.3750 0.2006  2 N 2.17
Mo8 0.6250 0.7006 0.9506  2 N 2.17
Mo9 0.7006 0.9506 0.6250  2 N 2.17
Mo10 0.7994 0.0494 0.1250  2 N 2.17
Mo11 0.8750 0.2994 0.4506  2 N 2.17
Mo12 0.9506 0.6250 0.7006  2 N 2.17
Pt1 0.0571 0.9429 0.4429  3 Pt 2.61, 6 Mo 2.76-2.92
Pt2 0.1929 0.1929 0.1929  3 Pt 2.61, 6 Mo 2.76-2.92
Pt3 0.3071 0.8071 0.6929  3 Pt 2.61, 6 Mo 2.76-2.92
Pt4 0.4429 0.0571 0.9429  3 Pt 2.61, 6 Mo 2.76-2.92
Pt5 0.5571 0.5571 0.5571  3 Pt 2.61, 6 Mo 2.76-2.92
Pt6 0.6929 0.3071 0.8071  3 Pt 2.61, 6 Mo 2.76-2.92
Pt7 0.8071 0.6929 0.3071  3 Pt 2.61, 6 Mo 2.76-2.92
Pt8 0.9429 0.4429 0.0571  3 Pt 2.61, 6 Mo 2.76-2.92
N1 0.1250 0.3750 0.6250  6 Mo 2.17
N2 0.3750 0.6250 0.1250  6 Mo 2.17
N3 0.6250 0.1250 0.3750  6 Mo 2.17
N4 0.8750 0.8750 0.8750  6 Mo 2.17

## Properties
calculated total energy = -220.535 eV per cell

Here is a relaxed structure of TaZnCoIr from OQMD via LeMat-Bulk. Energies are from PBE-GGA.

Unit cell a=4.3225 b=4.3225 c=6.1164 alpha=90.00 beta=90.00 gamma=90.00
Closest atoms and distances in Å follow each position.
Positions (direct):
Ta1 0.0000 0.5000 0.2488  4 Co 2.64-2.65, 4 Ir 2.64-2.65
Ta2 0.5000 0.0000 0.7512  4 Co 2.64-2.65, 4 Ir 2.64-2.65
Zn1 0.0000 0.5000 0.7497  4 Co 2.65, 4 Ir 2.65
Zn2 0.5000 0.0000 0.2503  4 Co 2.65, 4 Ir 2.65
Co1 0.0000 0.0000 0.0000  4 Ta 2.64, 4 Zn 2.65
Co2 0.5000 0.5000 0.5000  4 Zn 2.65, 4 Ta 2.65
Ir1 0.0000 0.0000 0.5000  4 Zn 2.65, 4 Ta 2.65
Ir2 0.5000 0.5000 0.0000  4 Ta 2.64, 4 Zn 2.65

## Properties
formation enthalpy at 0 K = -371 meV per atom
calculated total energy = -61.127 eV per cell

Here is a relaxed structure of LuMoPt2 from OQMD via LeMat-Bulk. Energies are from PBE-GGA.

Unit cell a=4.5950 b=4.5950 c=4.5950 alpha=60.00 beta=60.00 gamma=60.00
Closest atoms and distances in Å follow each position.
Positions (direct):
Lu1 0.0000 0.0000 0.0000  4 Pt 2.81, 4 Mo 2.81
Mo1 0.2500 0.2500 0.2500  4 Pt 2.81, 4 Lu 2.81
Pt1 0.5000 0.5000 0.5000  4 Pt 2.81, 4 Mo 2.81
Pt2 0.7500 0.7500 0.7500  4 Lu 2.81, 4 Pt 2.81

## Properties
formation enthalpy at 0 K = -305 meV per atom
calculated total energy = -28.704 eV per cell

Here is a relaxed structure of LiGdSn from OQMD via LeMat-Bulk. Energies are from PBE-GGA.

Unit cell a=4.6598 b=4.6598 c=4.6598 alpha=60.00 beta=60.00 gamma=60.00
Closest atoms and distances in Å follow each position.
Positions (direct):
Li1 0.0000 0.0000 0.0000  4 Gd 2.85, 4 Sn 2.85
Gd1 0.7500 0.7500 0.7500  4 Li 2.85
Sn1 0.2500 0.2500 0.2500  4 Li 2.85

## Properties
calculated total energy = -11.986 eV per cell

Here is a relaxed structure of Lu4ZnC3 from OQMD via LeMat-Bulk. Energies are from PBE-GGA.

Unit cell a=3.5056 b=3.5056 c=26.2049 alpha=90.00 beta=90.00 gamma=120.00
Closest atoms and distances in Å follow each position.
Positions (direct):
Lu1 0.0000 0.0000 0.1567  3 C 2.31
Lu2 0.0000 0.0000 0.3433  3 C 2.31
Lu3 0.0000 0.0000 0.6567  3 C 2.31
Lu4 0.0000 0.0000 0.8433  3 C 2.31
Lu5 0.3333 0.6667 0.0537  6 C 2.47-2.58
Lu6 0.3333 0.6667 0.4463  6 C 2.47-2.58
Lu7 0.6667 0.3333 0.5537  6 C 2.47-2.58
Lu8 0.6667 0.3333 0.9463  6 C 2.47-2.58
Zn1 0.3333 0.6667 0.2500  6 Lu 3.17, 6 Zn 3.51
Zn2 0.6667 0.3333 0.7500  6 Lu 3.17, 6 Zn 3.51
C1 0.0000 0.0000 0.0000  6 Lu 2.47
C2 0.0000 0.0000 0.5000  6 Lu 2.47
C3 0.3333 0.6667 0.6146  6 Lu 2.31-2.58
C4 0.3333 0.6667 0.8854  6 Lu 2.31-2.58
C5 0.6667 0.3333 0.1146  6 Lu 2.31-2.58
C6 0.6667 0.3333 0.3854  6 Lu 2.31-2.58

## Properties
calculated total energy = -98.254 eV per cell

Here is a relaxed structure of Na4AgP2Pt from OQMD via LeMat-Bulk. Energies are from PBE-GGA.

Unit cell a=5.5601 b=5.5601 c=5.5686 alpha=90.41 beta=90.41 gamma=103.05
Closest atoms and distances in Å follow each position.
Positions (direct):
Na1 0.0317 0.6748 0.7585  3 P 2.95-3.13, 2 Na 3.11-3.30, 2 Pt 3.21-3.26, 1 Ag 3.22
Na2 0.3252 0.9683 0.2415  3 P 2.95-3.13, 2 Na 3.11-3.30, 2 Pt 3.21-3.26, 1 Ag 3.22
Na3 0.6748 0.0317 0.7585  3 P 2.95-3.13, 2 Na 3.11-3.30, 2 Pt 3.21-3.26, 1 Ag 3.22
Na4 0.9683 0.3252 0.2415  3 P 2.95-3.13, 2 Na 3.11-3.30, 2 Pt 3.21-3.26, 1 Ag 3.22
Ag1 0.5000 0.5000 0.5000  2 P 2.45
P1 0.2185 0.2185 0.7637  1 Pt 2.34, 1 Ag 2.45
P2 0.7815 0.7815 0.2363  1 Pt 2.34, 1 Ag 2.45
Pt1 0.5000 0.5000 0.0000  2 P 2.34

## Properties
calculated total energy = -28.200 eV per cell

Here is a relaxed structure of BeAlCoAu from OQMD via LeMat-Bulk. Energies are from PBE-GGA.

Unit cell a=4.1354 b=4.1354 c=4.1354 alpha=60.00 beta=60.00 gamma=60.00
Closest atoms and distances in Å follow each position.
Positions (direct):
Be1 0.0000 0.0000 0.0000  4 Co 2.53, 4 Au 2.53
Al1 0.5000 0.5000 0.5000  4 Co 2.53, 4 Au 2.53
Co1 0.7500 0.7500 0.7500  4 Be 2.53, 4 Al 2.53
Au1 0.2500 0.2500 0.2500  4 Be 2.53, 4 Al 2.53

## Properties
calculated total energy = -18.759 eV per cell

Here is a relaxed structure of GaTcNiAu from OQMD via LeMat-Bulk. Energies are from PBE-GGA.

Unit cell a=4.3743 b=4.3743 c=4.3743 alpha=60.00 beta=60.00 gamma=60.00
Closest atoms and distances in Å follow each position.
Positions (direct):
Ga1 0.0000 0.0000 0.0000  4 Tc 2.68, 4 Ni 2.68
Tc1 0.7500 0.7500 0.7500  4 Ga 2.68, 4 Au 2.68
Ni1 0.2500 0.2500 0.2500  4 Au 2.68, 4 Ga 2.68
Au1 0.5000 0.5000 0.5000  4 Tc 2.68, 4 Ni 2.68

## Properties
calculated total energy = -21.691 eV per cell

Here is a relaxed structure of FeNiP from OQMD via LeMat-Bulk. Energies are from PBE-GGA.

Unit cell a=5.8082 b=5.8082 c=3.3509 alpha=90.00 beta=90.00 gamma=120.00
Closest atoms and distances in Å follow each position.
Positions (direct):
Fe1 0.0000 0.2601 0.0000  4 P 2.18-2.26
Fe2 0.2601 0.0000 0.0000  4 P 2.18-2.26
Fe3 0.7399 0.7399 0.0000  4 P 2.18-2.26
Ni1 0.0000 0.6017 0.5000  5 P 2.31-2.44
Ni2 0.3983 0.3983 0.5000  5 P 2.31-2.44
Ni3 0.6017 0.0000 0.5000  5 P 2.31-2.44
P1 0.0000 0.0000 0.5000  6 Fe 2.26, 3 Ni 2.31
P2 0.3333 0.6667 0.0000  3 Fe 2.18
P3 0.6667 0.3333 0.0000  3 Fe 2.18

## Properties
calculated total energy = -62.249 eV per cell

Here is a relaxed structure of PmBiN2O from OQMD via LeMat-Bulk. Energies are from PBE-GGA.

Unit cell a=4.2155 b=4.2155 c=4.1806 alpha=90.00 beta=90.00 gamma=90.00
Closest atoms and distances in Å follow each position.
Positions (direct):
Pm1 0.0000 0.0000 0.0000  8 N 2.97, 4 O 2.98
Bi1 0.5000 0.5000 0.5000  2 O 2.09, 4 N 2.11
N1 0.0000 0.5000 0.5000  2 Bi 2.11
N2 0.5000 0.0000 0.5000  2 Bi 2.11
O1 0.5000 0.5000 0.0000  2 Bi 2.09

## Properties
calculated total energy = -31.350 eV per cell

Asked for calculated volume across the records above, the calculation gives 15.21 21.61 13.66 14.28 17.15 23.85 17.43 20.96 12.50 14.80 10.88 14.86 Å³/atom in order.